# SmY2Tm (PBE-GGA, optimized geometry)
data_SmY2Tm
_symmetry_space_group_name_H-M 'I m m 2'
_symmetry_Int_Tables_number 44
_cell_length_a 3.6447
_cell_length_b 11.3417
_cell_length_c 6.2895
_cell_angle_alpha 90.00
_cell_angle_beta 90.00
_cell_angle_gamma 90.00
loop_
_symmetry_equiv_pos_as_xyz
'x,y,z'
'-x,-y,z'
'-x,y,z'
'x,-y,z'
'x+1/2,y+1/2,z+1/2'
'-x+1/2,-y+1/2,z+1/2'
'-x+1/2,y+1/2,z+1/2'
'x+1/2,-y+1/2,z+1/2'
loop_
_atom_site_label
_atom_site_type_symbol
_atom_site_fract_x
_atom_site_fract_y
_atom_site_fract_z
_atom_site_occupancy
Sm1 Sm 0.0000 0.0000 0.0000 1
Y1 Y 0.0000 0.2481 0.3359 1
Tm1 Tm 0.0000 0.5000 0.0038 1
# - Energy relative to the lowest polymorph listed for this composition: 0.000 eV per atom
# - Size of the total moment: 0.0 μB/f.u.
# - Crystal system: orthorhombic
# - Calculated volume: 259.99 Å³/cell